First-principles (PBE) data for crystalline Li4NbO4 at its relaxed geometry, as listed in the Alexandria database.

Output
For the density of states at the Fermi level, the calculation gives 0.39 states/eV per cell. The calculation puts the energy relative to the elements, uncorrected at -18.9 eV per formula unit. For the excess energy over the best structure of this formula in the dataset, the calculation gives 7.7 meV/atom. As for the symmetry: Cmcm, No. 63.

a = 5.523 Å, b = 5.523 Å, c = 6.509 Å
α = 90.00°, β = 90.00°, γ = 100.27°
Positions (direct):
O (0.338, 0.770, 0.750)
O (0.230, 0.662, 0.250)
O (0.218, 0.218, 0.988)
O (0.782, 0.782, 0.012)
O (0.662, 0.230, 0.250)
O (0.218, 0.218, 0.512)
O (0.770, 0.338, 0.750)
O (0.782, 0.782, 0.488)
Li (0.844, 0.156, 0.500)
Li (0.156, 0.844, 0.500)
Li (0.424, 0.140, 0.750)
Li (0.156, 0.844, 0.000)
Li (0.844, 0.156, 0.000)
Li (0.576, 0.860, 0.250)
Li (0.140, 0.424, 0.750)
Li (0.860, 0.576, 0.250)
Nb (0.655, 0.655, 0.750)
Nb (0.345, 0.345, 0.250)

First-principles (PBE) data for crystalline Zn2CoBr at its relaxed geometry, as listed in the Alexandria database.

Output
For the density of states at the Fermi level, the calculation gives 10.61 states/eV per cell. The calculation puts the energy relative to the elements, uncorrected at 1.7 eV per formula unit. For the excess energy over the best structure of this formula in the dataset, the calculation gives 321.2 meV/atom. As for the symmetry: I-42d, No. 122.

a = 7.550 Å, b = 7.550 Å, c = 5.936 Å
α = 50.51°, β = 50.51°, γ = 90.00°
Last column: magnetic moment on the atom in μB.
Positions (direct):
Co (0.250, 0.750, 0.500)  1.31
Co (0.500, 0.500, 0.000)  1.31
Br (0.000, 0.000, 0.000)  0.00
Br (0.750, 0.250, 0.500)  0.00
Zn (0.578, 0.125, 0.250)  -0.01
Zn (0.172, 0.625, 0.250)  -0.01
Zn (0.875, 0.828, 0.750)  -0.01
Zn (0.375, 0.422, 0.750)  -0.01

First-principles (PBE) data for crystalline LaPm3Sm4Se8 at its relaxed geometry, as listed in the Alexandria database.

Output
For the density of states at the Fermi level, the calculation gives 10.94 states/eV per cell. The calculation puts the energy relative to the elements, uncorrected at -29.5 eV per formula unit. As for the symmetry: R-3m, No. 166.

a = 8.401 Å, b = 8.404 Å, c = 8.400 Å
α = 119.98°, β = 120.00°, γ = 90.00°
Positions (direct):
Se (0.253, 0.755, 0.002)
Se (0.249, 0.248, 0.498)
Se (0.253, 0.755, 0.506)
Se (0.747, 0.245, 0.998)
Se (0.747, 0.245, 0.494)
Se (0.748, 0.755, 0.002)
Se (0.751, 0.752, 0.502)
Se (0.252, 0.245, 0.998)
La (0.000, 0.500, 0.000)
Pm (0.500, 0.500, 0.500)
Pm (0.000, 0.500, 0.500)
Pm (0.500, 0.500, 0.000)
Sm (0.000, 0.000, 0.500)
Sm (0.000, 0.000, 0.000)
Sm (0.500, 0.000, 0.500)
Sm (0.500, 0.000, 0.000)

Number 1: V 195.3 Å³ per cell. Number 2: V 148.0 Å³ per cell. Number 3: V 419.4 Å³ per cell.